# Ba2NaTeS

Crystalline Ba2NaTeS at its relaxed geometry (PBE, the Alexandria database).

Summary:
total energy	-3.746	eV per atom
formation energy (no corrections)	-608	kJ/mol of formula units
space group	P4/mmm
size of the total moment	0.0	μB per formula unit

Cell lengths 6.0956, 6.0956, 5.1192 Å; angles 90.00, 90.00, 90.00 degrees
Sites, in units of the cell vectors:
Ba 0.0000 0.5000 0.0000
Ba 0.5000 0.0000 0.0000
Na 0.0000 0.0000 0.5000
Te 0.5000 0.5000 0.5000
S 0.0000 0.0000 0.0000

---

# Ba2NaThS4

Crystalline Ba2NaThS4 at its relaxed geometry (PBE, the Alexandria database).

Summary:
total energy	-5.458	eV per atom
formation energy (no corrections)	-1406	kJ/mol of formula units
space group	P2/m
size of the total moment	0.0	μB per formula unit

Cell lengths 7.3860, 4.3096, 7.5227 Å; angles 90.00, 109.26, 90.00 degrees
Sites, in units of the cell vectors:
Ba 0.0000 0.0000 0.0000
Ba 0.5000 0.5000 0.0000
Na 0.0000 0.5000 0.5000
Th 0.5000 0.0000 0.5000
S 0.2589 0.0000 0.7196
S 0.2696 0.5000 0.2817
S 0.7304 0.5000 0.7183
S 0.7411 0.0000 0.2804

---

# Ba2NaTlS

Crystalline Ba2NaTlS at its relaxed geometry (PBE, the Alexandria database).

Summary:
total energy	-3.143	eV per atom
formation energy (no corrections)	-391	kJ/mol of formula units
space group	P4/mmm
size of the total moment	0.0	μB per formula unit

Cell lengths 6.2063, 6.2063, 5.1550 Å; angles 90.00, 90.00, 90.00 degrees
Sites, in units of the cell vectors:
Ba 0.0000 0.5000 0.0000
Ba 0.5000 0.0000 0.0000
Na 0.0000 0.0000 0.5000
Tl 0.5000 0.5000 0.5000
S 0.0000 0.0000 0.0000